A geometry-optimized La3Al4Pt4 structure, computed with PBE.

## Properties
energy above the lowest structure with this stoichiometry = 0.0000 eV per atom
magnetic moment = 0.00 μB/atom
VASP energy = -6.02 eV per atom
ΔE_f = -1.122 eV/atom

abc: 8.400 8.400 8.400
angles: 150.70 127.81 60.98
Fractional coordinates of all 11 atoms:
La: 0.000 0.000 0.000
La: 0.382 0.882 0.500
La: 0.618 0.118 0.500
Al: 0.014 0.320 0.694
Al: 0.374 0.680 0.694
Al: 0.626 0.320 0.306
Al: 0.986 0.680 0.306
Pt: 0.220 0.220 0.000
Pt: 0.284 0.500 0.784
Pt: 0.716 0.500 0.216
Pt: 0.780 0.780 0.000